## P
The following is a DFT calculation (PBE) of a relaxed AcSmGaGe crystal.

Unit cell a=5.356 b=5.356 c=5.356 alpha=60.00 beta=60.00 gamma=60.00
Element x y z (fractional)
Ac 0.000 0.000 0.000
Ga 0.750 0.750 0.750
Ge 0.250 0.250 0.250
Sm 0.500 0.500 0.500

Summary:
V ... 27.2 Å³/atom
Density of states at the Fermi level ... 0.485 states/eV per atom



## Q
The following is a DFT calculation (PBE) of a relaxed AcSmGaGe crystal.

Unit cell a=4.561 b=4.198 c=6.267 alpha=90.00 beta=111.34 gamma=90.00
Element x y z (fractional)
Ac 0.747 0.500 0.494
Sm 0.026 0.000 0.051
Ga 0.470 0.500 0.939
Ge 0.327 0.000 0.654

Summary:
V ... 27.9 Å³/atom
Density of states at the Fermi level ... 0.765 states/eV per atom



Q has the most favorable energy; the next structure is 170 meV/atom above.



## P
The following is a DFT calculation (PBE) of a relaxed AcGaHg crystal.

Unit cell a=4.140 b=4.843 c=4.843 alpha=120.00 beta=90.00 gamma=90.00
Element x y z (fractional)
Ac 0.667 0.667 0.333
Hg 0.169 0.333 0.667
Ga 0.164 0.000 0.000

Summary:
V ... 28.0 Å³/atom
Density of states at the Fermi level ... 0.579 states/eV per atom



## Q
The following is a DFT calculation (PBE) of a relaxed AcGaHg crystal.

Unit cell a=3.796 b=3.796 c=6.391 alpha=107.28 beta=107.28 gamma=90.00
Element x y z (fractional)
Ac 0.997 0.997 0.995
Hg 0.686 0.686 0.372
Ga 0.316 0.316 0.633

Summary:
V ... 27.9 Å³/atom
Density of states at the Fermi level ... 0.881 states/eV per atom



P has the most favorable energy; the next structure is 201 meV/atom above.



## P
The following is a DFT calculation (PBE) of a relaxed AcGaHg crystal.

Unit cell a=8.407 b=8.407 c=6.358 alpha=48.62 beta=48.62 gamma=60.00
Element x y z (fractional)
Ga 0.111 0.111 0.668
Ga 0.382 0.382 0.854
Ga 0.715 0.715 0.855
Hg 0.743 0.406 0.778
Hg 0.074 0.743 0.778
Hg 0.406 0.074 0.778
Ac 0.581 0.900 0.281
Ac 0.900 0.238 0.281
Ac 0.238 0.581 0.281

Summary:
V ... 27.9 Å³/atom
Density of states at the Fermi level ... 0.516 states/eV per atom



## Q
The following is a DFT calculation (PBE) of a relaxed AcGaHg crystal.

Unit cell a=4.293 b=4.786 c=8.936 alpha=105.53 beta=103.88 gamma=90.00
Element x y z (fractional)
Ac 0.637 0.887 0.775
Ac 0.363 0.113 0.225
Ga 0.211 0.461 0.922
Ga 0.789 0.539 0.078
Hg 0.048 0.298 0.595
Hg 0.952 0.702 0.405

Summary:
V ... 28.6 Å³/atom
Density of states at the Fermi level ... 0.828 states/eV per atom



Q has the most favorable energy; the next structure is 24 meV/atom above.



## P
The following is a DFT calculation (PBE) of a relaxed AcGaHg4 crystal.

Unit cell a=6.123 b=6.123 c=6.123 alpha=60.00 beta=60.00 gamma=60.00
Element x y z (fractional)
Ac 0.250 0.250 0.250
Hg 0.625 0.625 0.124
Hg 0.625 0.124 0.625
Hg 0.625 0.625 0.625
Hg 0.124 0.625 0.625
Ga 0.000 0.000 0.000

Summary:
V ... 27.1 Å³/atom
Density of states at the Fermi level ... 0.718 states/eV per atom



## Q
The following is a DFT calculation (PBE) of a relaxed AcGaHg4 crystal.

Unit cell a=4.912 b=7.158 c=9.270 alpha=90.00 beta=105.36 gamma=90.00
Element x y z (fractional)
Ac 0.864 0.674 0.729
Ac 0.136 0.174 0.271
Ga 0.689 0.888 0.377
Ga 0.311 0.388 0.623
Hg 0.949 0.193 0.897
Hg 0.051 0.693 0.103
Hg 0.527 0.965 0.054
Hg 0.473 0.465 0.946
Hg 0.645 0.498 0.289
Hg 0.355 0.998 0.711
Hg 0.776 0.215 0.552
Hg 0.224 0.715 0.448

Summary:
V ... 26.2 Å³/atom
Density of states at the Fermi level ... 0.468 states/eV per atom



Q has the most favorable energy; the next structure is 125 meV/atom above.



## P
The following is a DFT calculation (PBE) of a relaxed Ac4GaHg crystal.

Unit cell a=7.491 b=7.760 c=7.760 alpha=90.00 beta=90.00 gamma=90.00
Element x y z (fractional)
Ac 0.000 0.184 0.672
Ac 0.000 0.816 0.328
Ac 0.000 0.328 0.184
Ac 0.000 0.672 0.816
Ac 0.500 0.816 0.672
Ac 0.500 0.184 0.328
Ac 0.500 0.672 0.184
Ac 0.500 0.328 0.816
Ga 0.250 0.500 0.500
Ga 0.750 0.500 0.500
Hg 0.250 0.000 0.000
Hg 0.750 0.000 0.000

Summary:
V ... 37.6 Å³/atom
Density of states at the Fermi level ... 1.591 states/eV per atom



## Q
The following is a DFT calculation (PBE) of a relaxed Ac4GaHg crystal.

Unit cell a=5.491 b=5.492 c=7.796 alpha=89.99 beta=89.99 gamma=90.00
Element x y z (fractional)
Ac 0.501 0.997 0.256
Ac 0.501 0.997 0.741
Ac 0.001 0.497 0.741
Ac 0.001 0.497 0.256
Ga 0.001 0.997 0.498
Hg 0.501 0.497 0.998

Summary:
V ... 39.2 Å³/atom
Density of states at the Fermi level ... 1.283 states/eV per atom



P has the most favorable energy; the next structure is 104 meV/atom above.



## P
The following is a DFT calculation (PBE) of a relaxed AcGa3Hg crystal.

Unit cell a=4.667 b=4.667 c=6.300 alpha=111.74 beta=111.74 gamma=90.00
Element x y z (fractional)
Ac 0.017 0.017 0.034
Ga 0.274 0.774 0.547
Ga 0.774 0.274 0.547
Ga 0.389 0.389 0.778
Hg 0.637 0.637 0.274

Summary:
V ... 23.4 Å³/atom
Density of states at the Fermi level ... 0.392 states/eV per atom



## Q
The following is a DFT calculation (PBE) of a relaxed AcGa3Hg crystal.

Unit cell a=4.566 b=4.460 c=12.433 alpha=100.33 beta=90.00 gamma=90.00
Element x y z (fractional)
Ac 0.500 0.829 0.659
Ac 0.500 0.171 0.341
Ga 0.000 0.051 0.101
Ga 0.000 0.949 0.899
Ga 0.000 0.275 0.549
Ga 0.000 0.725 0.451
Ga 0.500 0.449 0.898
Ga 0.500 0.551 0.102
Hg 0.000 0.616 0.232
Hg 0.000 0.384 0.768

Summary:
V ... 24.9 Å³/atom
Density of states at the Fermi level ... 0.563 states/eV per atom



P has the most favorable energy; the next structure is 120 meV/atom above.



## P
The following is a DFT calculation (PBE) of a relaxed Ac2Ga3Hg crystal.

Unit cell a=6.472 b=6.472 c=9.109 alpha=111.11 beta=111.11 gamma=89.21
Element x y z (fractional)
Ac 0.250 0.750 0.500
Ac 0.747 0.747 0.000
Ac 0.750 0.250 0.500
Ac 0.253 0.253 0.000
Ga 0.322 0.839 0.161
Ga 0.161 0.678 0.839
Ga 0.678 0.161 0.839
Ga 0.839 0.322 0.161
Ga 0.161 0.161 0.321
Ga 0.839 0.839 0.679
Hg 0.667 0.667 0.334
Hg 0.333 0.333 0.666

Summary:
V ... 27.4 Å³/atom
Density of states at the Fermi level ... 0.870 states/eV per atom



## Q
The following is a DFT calculation (PBE) of a relaxed Ac2Ga3Hg crystal.

Unit cell a=4.317 b=4.747 c=8.608 alpha=106.01 beta=104.52 gamma=90.00
Element x y z (fractional)
Ac 0.132 0.132 0.265
Ac 0.867 0.367 0.733
Ga 0.707 0.707 0.414
Ga 0.546 0.546 0.091
Ga 0.289 0.789 0.578
Hg 0.460 0.960 0.919

Summary:
V ... 27.3 Å³/atom
Density of states at the Fermi level ... 0.815 states/eV per atom



Q has the most favorable energy; the next structure is 5 meV/atom above.



## P
The following is a DFT calculation (PBE) of a relaxed Ac3Ga3Hg2 crystal.

Unit cell a=4.308 b=5.439 c=10.514 alpha=105.23 beta=101.82 gamma=90.00
Element x y z (fractional)
Ac 0.863 0.361 0.726
Ac 0.137 0.639 0.274
Ac 0.000 0.000 0.000
Ga 0.371 0.869 0.742
Ga 0.500 0.500 0.000
Ga 0.629 0.131 0.258
Hg 0.766 0.764 0.532
Hg 0.234 0.236 0.468

Summary:
V ... 29.0 Å³/atom
Density of states at the Fermi level ... 0.648 states/eV per atom



## Q
The following is a DFT calculation (PBE) of a relaxed Ac3Ga3Hg2 crystal.

Unit cell a=4.881 b=6.259 c=16.064 alpha=90.00 beta=90.00 gamma=112.95
Element x y z (fractional)
Ac 0.898 0.796 0.392
Ac 0.102 0.204 0.892
Ac 0.898 0.796 0.108
Ac 0.102 0.204 0.608
Ac 0.624 0.249 0.250
Ac 0.376 0.751 0.750
Ga 0.604 0.208 0.463
Ga 0.396 0.792 0.963
Ga 0.604 0.208 0.037
Ga 0.396 0.792 0.537
Ga 0.338 0.676 0.250
Ga 0.662 0.324 0.750
Hg 0.804 0.607 0.900
Hg 0.196 0.393 0.400
Hg 0.804 0.607 0.600
Hg 0.196 0.393 0.100

Summary:
V ... 28.2 Å³/atom
Density of states at the Fermi level ... 0.459 states/eV per atom



Q has the most favorable energy; the next structure is 129 meV/atom above.